Below is crystalline Na5V2P3O15 at its relaxed geometry, with properties calculated at the GGA+U level.

a = 10.6450 Å, b = 10.6450 Å, c = 5.2782 Å
α = 89.85°, β = 89.85°, γ = 145.26°
Closest atoms and distances in Å follow each position.
Atoms (fractional coordinates):
P 0.8127 0.1849 0.5043  4 O 1.52-1.58
P 0.6551 0.6551 0.4726  4 O 1.52-1.59
P 0.1849 0.8127 0.5043  4 O 1.52-1.58
O 0.5604 0.4408 0.4158  1 P 1.59
O 0.7196 0.7196 0.7493  1 P 1.52
O 0.3515 0.6694 0.8136  1 V 1.64
O 0.1775 0.7981 0.7918  1 P 1.52
O 0.1218 0.1218 0.8364  3 Na 2.39-2.53, 1 O 2.60
O 0.3469 0.0493 0.4048  1 P 1.56
O 0.6549 0.9537 0.3914  1 P 1.57
O 0.0493 0.3469 0.4048  1 P 1.56
O 0.6694 0.3515 0.8136  1 V 1.64
O 0.2591 0.7465 0.3759  1 P 1.58
O 0.4408 0.5604 0.4158  1 P 1.59
O 0.7465 0.2591 0.3759  1 P 1.58
O 0.7981 0.1775 0.7918  1 P 1.52
O 0.8370 0.8370 0.2850  1 P 1.52
O 0.9537 0.6549 0.3914  1 P 1.57
V 0.6533 0.3510 0.5036  1 O 1.64
V 0.3510 0.6533 0.5036  1 O 1.64
Na 0.4965 0.0184 0.0192  5 O 2.33-2.53
Na 0.9397 0.7718 0.9885  5 O 2.30-2.53
Na 0.0184 0.4965 0.0192  5 O 2.33-2.53
Na 0.7718 0.9397 0.9885  5 O 2.30-2.53
Na 0.1795 0.1795 0.3885  4 O 2.25-2.39

## Properties
* SG: Cm (8)
* V: 340.8 Å³/f.u.

***

Below is crystalline NaVP2O at its relaxed geometry, with properties calculated at the GGA+U level.

a = 4.8003 Å, b = 4.8003 Å, c = 3.6900 Å
α = 90.00°, β = 90.00°, γ = 90.00°
Closest atoms and distances in Å follow each position.
Atoms (fractional coordinates):
O 0.0000 0.0000 0.5000  2 V 1.84
P 0.0000 0.5000 0.0000  2 V 2.40
P 0.5000 0.0000 0.0000  2 V 2.40
V 0.0000 0.0000 0.0000  2 O 1.84
Na 0.5000 0.5000 0.5000  8 P 3.03

## Properties
* SG: P4/mmm (123)
* V: 85.0 Å³/f.u.

***

Below is crystalline Na3V2P3O12 at its relaxed geometry, with properties calculated at the GGA+U level.

a = 8.8054 Å, b = 9.0406 Å, c = 12.5943 Å
α = 90.00°, β = 89.00°, γ = 90.00°
Closest atoms and distances in Å follow each position.
Atoms (fractional coordinates):
Na 0.0893 0.9602 0.3253  4 O 2.25-2.50
Na 0.7731 0.8005 0.1455  3 O 2.27-2.41
Na 0.1047 0.2947 0.2410  4 O 2.20-2.38
Na 0.2269 0.1995 0.8545  3 O 2.27-2.41
Na 0.7269 0.3005 0.3545  3 O 2.27-2.41
Na 0.5893 0.5398 0.8253  4 O 2.25-2.50
Na 0.9107 0.0398 0.6747  4 O 2.25-2.50
Na 0.8953 0.7053 0.7590  4 O 2.20-2.38
Na 0.6047 0.2053 0.7410  4 O 2.20-2.38
Na 0.2731 0.6995 0.6455  3 O 2.27-2.41
Na 0.4107 0.4602 0.1747  4 O 2.25-2.50
Na 0.3953 0.7947 0.2590  4 O 2.20-2.38
O 0.0904 0.8717 0.5765  1 P 1.56
O 0.8020 0.4345 0.9524  1 P 1.56
O 0.3538 0.2897 0.3325  1 P 1.56
O 0.8584 0.2731 0.1731  1 P 1.56
O 0.3159 0.4916 0.7414  1 P 1.55
O 0.5630 0.1409 0.9220  1 P 1.55
O 0.6841 0.5084 0.2586  1 P 1.55
O 0.6609 0.8278 0.9488  1 P 1.55
O 0.8324 0.4693 0.7592  1 P 1.56
O 0.1609 0.6722 0.4488  1 P 1.55
O 0.4382 0.5854 0.3439  1 P 1.57
O 0.4242 0.6841 0.9157  1 P 1.54
O 0.6462 0.7103 0.6675  1 P 1.56
O 0.1416 0.7269 0.8269  1 P 1.56
O 0.6416 0.7731 0.3269  1 P 1.56
O 0.3324 0.0307 0.2592  1 P 1.56
O 0.1841 0.9916 0.7586  1 P 1.55
O 0.4370 0.8591 0.0780  1 P 1.55
O 0.5904 0.6283 0.0765  1 P 1.56
O 0.8260 0.0490 0.0464  1 P 1.52
O 0.3260 0.4510 0.5464  1 P 1.52
O 0.4096 0.3717 0.9235  1 P 1.56
O 0.3020 0.0655 0.4524  1 P 1.56
O 0.5618 0.4146 0.6561  1 P 1.57
O 0.4345 0.8973 0.6312  1 P 1.55
O 0.0758 0.1841 0.5843  1 P 1.54
O 0.1980 0.5655 0.0476  1 P 1.56
O 0.6740 0.5490 0.4536  1 P 1.52
O 0.1676 0.5307 0.2408  1 P 1.56
O 0.8159 0.0084 0.2414  1 P 1.55
O 0.9345 0.6027 0.1312  1 P 1.55
O 0.0630 0.3591 0.4220  1 P 1.55
O 0.1462 0.7897 0.1675  1 P 1.56
O 0.9096 0.1283 0.4235  1 P 1.56
O 0.0655 0.3973 0.8688  1 P 1.55
O 0.9382 0.9146 0.8439  1 P 1.57
O 0.6980 0.9345 0.5476  1 P 1.56
O 0.8538 0.2103 0.8325  1 P 1.56
O 0.5758 0.3159 0.0843  1 P 1.54
O 0.6676 0.9693 0.7408  1 P 1.56
O 0.3584 0.2269 0.6731  1 P 1.56
O 0.3391 0.1722 0.0512  1 P 1.55
O 0.9370 0.6409 0.5780  1 P 1.55
O 0.8391 0.3278 0.5512  1 P 1.55
O 0.1740 0.9510 0.9536  1 P 1.52
O 0.5655 0.1027 0.3688  1 P 1.55
O 0.9242 0.8159 0.4157  1 P 1.54
O 0.0618 0.0854 0.1561  1 P 1.57
P 0.6146 0.6055 0.3489  4 O 1.52-1.57
P 0.3854 0.3945 0.6511  4 O 1.52-1.57
P 0.1146 0.8945 0.8489  4 O 1.52-1.57
P 0.8924 0.3763 0.8536  4 O 1.55-1.56
P 0.1076 0.6237 0.1464  4 O 1.55-1.56
P 0.4761 0.2501 0.9966  4 O 1.54-1.56
P 0.3924 0.1237 0.3536  4 O 1.55-1.56
P 0.5239 0.7499 0.0034  4 O 1.54-1.56
P 0.6076 0.8763 0.6464  4 O 1.55-1.56
P 0.8854 0.1055 0.1511  4 O 1.52-1.57
P 0.0239 0.7501 0.5034  4 O 1.54-1.56
P 0.9761 0.2499 0.4966  4 O 1.54-1.56
V 0.2534 0.0441 0.6052  6 O 1.97-2.15
V 0.7466 0.9559 0.3948  6 O 1.97-2.15
V 0.7508 0.0183 0.8997  6 O 1.99-2.19
V 0.7492 0.5183 0.6003  6 O 1.99-2.19
V 0.7534 0.4559 0.1052  6 O 1.97-2.15
V 0.2508 0.4817 0.3997  6 O 1.99-2.19
V 0.2466 0.5441 0.8948  6 O 1.97-2.15
V 0.2492 0.9817 0.1003  6 O 1.99-2.19

## Properties
* SG: P2_1/c (14)
* V: 250.6 Å³/f.u.

***

Below is crystalline NaVPO5 at its relaxed geometry, with properties calculated at the GGA+U level.

a = 8.5733 Å, b = 6.6584 Å, c = 7.0789 Å
α = 65.20°, β = 90.00°, γ = 90.00°
Closest atoms and distances in Å follow each position.
Atoms (fractional coordinates):
Na 0.0809 0.2537 0.2334  6 O 2.29-2.54
Na 0.5809 0.7463 0.2666  6 O 2.29-2.54
Na 0.4191 0.2537 0.7333  6 O 2.29-2.54
Na 0.9191 0.7463 0.7667  6 O 2.29-2.54
O 0.5337 0.1500 0.1278  1 P 1.56
O 0.3177 0.0706 0.3965  1 P 1.55
O 0.1758 0.4351 0.5962  1 P 1.55
O 0.3242 0.4351 0.0962  1 P 1.55
O 0.6823 0.9294 0.6035  1 P 1.55
O 0.4663 0.8500 0.8722  1 P 1.56
O 0.5344 0.3417 0.3764  1 P 1.56
O 0.8140 0.2518 0.2486  1 V 1.74
O 0.6860 0.2518 0.7486  1 V 1.74
O 0.8242 0.5649 0.4038  1 P 1.55
O 0.9656 0.3417 0.8764  1 P 1.56
O 0.6758 0.5649 0.9038  1 P 1.55
O 0.0344 0.6583 0.1236  1 P 1.56
O 0.9663 0.1500 0.6278  1 P 1.56
O 0.8177 0.9294 0.1035  1 P 1.55
O 0.1823 0.0706 0.8965  1 P 1.55
O 0.1860 0.7482 0.7514  1 V 1.74
O 0.0337 0.8500 0.3722  1 P 1.56
O 0.3140 0.7482 0.2514  1 V 1.74
O 0.4656 0.6583 0.6236  1 P 1.56
P 0.0693 0.2498 0.7490  4 O 1.55-1.56
P 0.9307 0.7502 0.2510  4 O 1.55-1.56
P 0.4307 0.2498 0.2490  4 O 1.55-1.56
P 0.5693 0.7502 0.7510  4 O 1.55-1.56
V 0.7433 0.2475 0.9858  1 O 1.74
V 0.2433 0.7525 0.5142  1 O 1.74
V 0.2567 0.7525 0.0142  1 O 1.74
V 0.7567 0.2475 0.4858  1 O 1.74

## Properties
* SG: P2_1/c (14)
* V: 91.7 Å³/f.u.

***

Below is crystalline NaVPO5 at its relaxed geometry, with properties calculated at the GGA+U level.

a = 6.4863 Å, b = 7.8490 Å, c = 7.4269 Å
α = 90.00°, β = 90.00°, γ = 90.00°
Closest atoms and distances in Å follow each position.
Atoms (fractional coordinates):
O 0.4408 0.2749 0.6351  1 P 1.55
O 0.4408 0.2251 0.1351  1 P 1.55
O 0.0592 0.2749 0.6351  1 P 1.55
O 0.2500 0.5222 0.7838  1 P 1.56
O 0.7500 0.0222 0.7162  1 P 1.56
O 0.9408 0.7251 0.3648  1 P 1.55
O 0.7500 0.4778 0.2162  1 P 1.56
O 0.2500 0.6806 0.1036  1 V 1.72
O 0.5592 0.7251 0.3648  1 P 1.55
O 0.7500 0.9915 0.0576  1 P 1.55
O 0.7500 0.5085 0.5576  1 P 1.55
O 0.0592 0.2251 0.1351  1 P 1.55
O 0.7500 0.3195 0.8965  1 V 1.72
O 0.5592 0.7749 0.8649  1 P 1.55
O 0.2500 0.0085 0.9424  1 P 1.55
O 0.2500 0.4915 0.4424  1 P 1.55
O 0.7500 0.1805 0.3965  1 V 1.72
O 0.2500 0.9778 0.2838  1 P 1.56
O 0.2500 0.8194 0.6036  1 V 1.72
O 0.9408 0.7749 0.8649  1 P 1.55
P 0.7500 0.6058 0.3766  4 O 1.55-1.56
P 0.2500 0.3941 0.6234  4 O 1.55-1.56
P 0.7500 0.8942 0.8766  4 O 1.55-1.56
P 0.2500 0.1058 0.1233  4 O 1.55-1.56
Na 0.0000 0.0000 0.5000  6 O 2.29-2.41
Na 0.5000 0.5000 0.0000  6 O 2.29-2.41
Na 0.0000 0.5000 0.0000  6 O 2.29-2.41
Na 0.5000 0.0000 0.5000  6 O 2.29-2.41
V 0.7500 0.2863 0.6679  1 O 1.72
V 0.2500 0.7863 0.8321  1 O 1.72
V 0.7500 0.2137 0.1679  1 O 1.72
V 0.2500 0.7137 0.3321  1 O 1.72

## Properties
* SG: Pnma (62)
* V: 94.5 Å³/f.u.

***

Below is crystalline Na2VPO6 at its relaxed geometry, with properties calculated at the GGA+U level.

a = 4.7656 Å, b = 5.6065 Å, c = 5.6065 Å
α = 120.00°, β = 90.00°, γ = 90.00°
Closest atoms and distances in Å follow each position.
Atoms (fractional coordinates):
Na 0.1065 0.3333 0.6667  3 O 2.43
Na 0.8935 0.6667 0.3333  3 O 2.43
O 0.2216 0.2840 0.1420  1 P 1.74, 1 V 1.91
O 0.2216 0.8580 0.1420  1 P 1.74, 1 V 1.91
O 0.7784 0.1420 0.8580  1 P 1.74, 1 V 1.91
O 0.2216 0.8580 0.7160  1 P 1.74, 1 V 1.91
O 0.7784 0.1420 0.2840  1 P 1.74, 1 V 1.91
O 0.7784 0.7160 0.8580  1 P 1.74, 1 V 1.91
V 0.5000 0.0000 0.0000  6 O 1.91
P 0.0000 0.0000 0.0000  6 O 1.74

## Properties
* SG: P-3m1 (164)
* V: 129.7 Å³/f.u.

***

Number 1: total moment 3.0 μB/f.u., E_tot -6.494 eV/atom. Number 2: total moment 0.4 μB/f.u., E_tot -5.068 eV/atom. Number 3: total moment 4.0 μB/f.u., E_tot -6.949 eV/atom. Number 4: total moment 1.0 μB/f.u., E_tot -7.062 eV/atom. Number 5: total moment 1.0 μB/f.u., E_tot -7.033 eV/atom. Number 6: total moment 0.0 μB/f.u., E_tot -6.217 eV/atom.